No. 1
Material: La2AuS2O2
Method: DFT, PBE-GGA
State: relaxed

Lattice parameters (Å, degrees): 4.0900 4.0900 11.3085 90.00 90.00 120.00
Last column: magnetic moment on the atom in μB.
Positions (direct):
S 0.0000 0.0000 0.1993  0.14
La 0.6667 0.3333 0.3648  0.02
O 0.6667 0.3333 0.5784  0.01
O 0.3333 0.6667 0.4216  0.01
S 0.0000 0.0000 0.8007  0.14
La 0.3333 0.6667 0.6352  0.02
Au 0.0000 0.0000 0.0000  0.14

Computed properties:
DFT total energy = -45.94 eV per cell
ρ = 5.79 g cm⁻³
Formation energy without anion corrections = -2.09 eV per atom

No. 2
Material: B3SbPd
Method: DFT, PBE-GGA
State: relaxed

Lattice parameters (Å, degrees): 4.4384 4.4384 4.4384 90.00 90.00 90.00
Positions (direct):
B 0.0000 0.0000 0.5000
B 0.0000 0.5000 0.0000
Pd 0.5000 0.5000 0.5000
B 0.5000 0.0000 0.0000
Sb 0.0000 0.0000 0.0000

Computed properties:
DFT total energy = -18.23 eV per cell
ρ = 4.95 g cm⁻³
Formation energy without anion corrections = 2.22 eV per atom
Excess energy over the best structure of this formula in the dataset = 801.2 meV per atom

No. 3
Material: ZrSn2Mo
Method: DFT, PBE-GGA
State: relaxed

Lattice parameters (Å, degrees): 4.1567 4.1567 10.7764 78.88 78.88 90.00
Positions (direct):
Sn 0.8750 0.8793 0.7500
Sn 0.6293 0.1250 0.2500
Mo 0.0000 0.0000 0.0000
Sn 0.3750 0.3707 0.7500
Zr 0.2500 0.7500 0.5000
Mo 0.7500 0.2500 0.5000
Zr 0.5000 0.5000 0.0000
Sn 0.1207 0.6250 0.2500

Computed properties:
Energy of formation = 117 kJ/mol of formula units
DFT total energy = -52.35 eV per cell
ρ = 7.87 g cm⁻³
Excess energy over the best structure of this formula in the dataset = 281.5 meV per atom

No. 4
Material: CoPSe2
Method: DFT, PBE-GGA
State: relaxed

Lattice parameters (Å, degrees): 4.4991 4.4991 4.4991 120.18 120.18 89.69
Last column: magnetic moment on the atom in μB.
Positions (direct):
Se 0.0000 0.0000 0.0000  0.01
Co 0.5000 0.5000 0.0000  1.34
Se 0.2500 0.7500 0.5000  -0.01
P 0.7500 0.2500 0.5000  -0.05

Computed properties:
DFT total energy = -16.60 eV per cell
ρ = 6.41 g cm⁻³
Formation energy without anion corrections = 0.72 eV per atom

No. 5
Material: CsBiPd
Method: DFT, PBE-GGA
State: relaxed

Lattice parameters (Å, degrees): 3.8486 3.8486 7.3526 105.17 105.17 90.00
Positions (direct):
Pd 0.2816 0.2816 0.5632
Bi 0.7200 0.7200 0.4400
Cs 0.9984 0.9984 0.9968

Computed properties:
Energy of formation = -69 kJ/mol of formula units
DFT total energy = -10.65 eV per cell
ρ = 7.36 g cm⁻³
Excess energy over the best structure of this formula in the dataset = 111.5 meV per atom

No. 6
Material: Be2AlHg
Method: DFT, PBE-GGA
State: relaxed

Lattice parameters (Å, degrees): 2.8556 2.8556 7.1554 90.00 90.00 90.00
Positions (direct):
Al 0.5000 0.5000 0.8151
Be 0.5000 0.5000 0.1871
Be 0.0000 0.0000 0.0367
Hg 0.0000 0.0000 0.4611

Computed properties:
Energy of formation = 157 kJ/mol of formula units
DFT total energy = -9.87 eV per cell
ρ = 6.99 g cm⁻³